Record 1
## Tl6HgPb12 (PBE)

Data for a relaxed Tl6HgPb12 crystal.

Structure (CIF):
```
data_Tl6HgPb12
_chemical_formula_sum 'Tl18 Hg3 Pb36'
_space_group_name_H-M_alt 'R -3'
_space_group_IT_number 148
_space_group_name_Hall '-R 3'
_cell_length_a 14.4459
_cell_length_b 14.4459
_cell_length_c 10.3663
_cell_angle_alpha 90.00
_cell_angle_beta 90.00
_cell_angle_gamma 120.00
loop_
_atom_site_label
_atom_site_fract_x
_atom_site_fract_y
_atom_site_fract_z
_atom_site_occupancy
Tl1 0.0527 0.8279 0.2525 1
Hg1 0.0000 0.0000 0.5000 1
Pb1 0.0544 0.8148 0.5863 1
Pb2 0.0579 0.8302 0.9163 1
```

---

Record 2
## Tl4Hg6Pb (PBE)

Data for a relaxed Tl4Hg6Pb crystal.

Structure (CIF):
```
data_Tl4Hg6Pb
_chemical_formula_sum 'Tl8 Hg12 Pb2'
_space_group_name_H-M_alt 'P 42/n m c'
_space_group_IT_number 137
_cell_length_a 10.727
_cell_length_b 10.727
_cell_length_c 5.851
_cell_angle_alpha 90.00
_cell_angle_beta 90.00
_cell_angle_gamma 90.00
loop_
_space_group_symop_operation_xyz
'x,y,z'
'-x,-y,-z'
'-y+1/2,x,z+1/2'
'y+1/2,-x,-z+1/2'
'-x+1/2,-y+1/2,z'
'x+1/2,y+1/2,-z'
'y,-x+1/2,z+1/2'
'-y,x+1/2,-z+1/2'
'x+1/2,-y,-z'
'-x+1/2,y,z'
'-y,-x,-z+1/2'
'y,x,z+1/2'
'-x,y+1/2,-z'
'x,-y+1/2,z'
'y+1/2,x+1/2,-z+1/2'
'-y+1/2,-x+1/2,z+1/2'
loop_
_atom_site_label
_atom_site_fract_x
_atom_site_fract_y
_atom_site_fract_z
_atom_site_occupancy
Tl1 0.026 0.750 0.248 1
Hg1 0.047 0.547 0.750 1
Hg2 0.250 0.250 0.005 1
Pb1 0.250 0.750 0.750 1
```

---

Record 3
## Tl6Hg2Pb3 (PBE)

Data for a relaxed Tl6Hg2Pb3 crystal.

Structure (CIF):
```
data_Tl6Hg2Pb3
_chemical_formula_sum 'Tl18 Hg6 Pb9'
_space_group_name_H-M_alt 'R -3 m'
_space_group_IT_number 166
_space_group_name_Hall '-R 3 2"'
_cell_length_a 3.6272
_cell_length_b 3.6272
_cell_length_c 88.0920
_cell_angle_alpha 90.00
_cell_angle_beta 90.00
_cell_angle_gamma 120.00
loop_
_atom_site_label
_atom_site_fract_x
_atom_site_fract_y
_atom_site_fract_z
_atom_site_occupancy
Tl1 0.0000 0.0000 0.0934 1
Tl2 0.0000 0.0000 0.1824 1
Tl3 0.0000 0.0000 0.3646 1
Hg1 0.0000 0.0000 0.4559 1
Pb1 0.0000 0.0000 0.0000 1
Pb2 0.0000 0.0000 0.2715 1
```

---

Record 4
## Tl2HgPb2 (PBE)

Data for a relaxed Tl2HgPb2 crystal.

Properties
Offset from the most stable computed form: 118 meV per atom

Structure (CIF):
```
data_Tl2HgPb2
_chemical_formula_sum 'Tl4 Hg2 Pb4'
_space_group_name_H-M_alt 'P 4/m b m'
_space_group_IT_number 127
_space_group_name_Hall '-P 4 2ab'
_cell_length_a 8.847
_cell_length_b 8.847
_cell_length_c 4.105
_cell_angle_alpha 90.00
_cell_angle_beta 90.00
_cell_angle_gamma 90.00
loop_
_atom_site_label
_atom_site_fract_x
_atom_site_fract_y
_atom_site_fract_z
_atom_site_occupancy
Tl1 0.161 0.339 0.000 1
Hg1 0.000 0.000 0.500 1
Pb1 0.138 0.638 0.500 1
```

---

Record 5
## TlHgPb (PBE)

Data for a relaxed TlHgPb crystal.

Properties
Offset from the most stable computed form: 25 meV per atom

Structure (CIF):
```
data_TlHgPb
_chemical_formula_sum 'Tl4 Hg4 Pb4'
_space_group_name_H-M_alt 'C 1 2/m 1'
_space_group_IT_number 12
_cell_length_a 16.239
_cell_length_b 3.643
_cell_length_c 6.068
_cell_angle_alpha 90.00
_cell_angle_beta 96.51
_cell_angle_gamma 90.00
loop_
_space_group_symop_operation_xyz
'x,y,z'
'-x,-y,-z'
'-x,y,-z'
'x,-y,z'
'x+1/2,y+1/2,z'
'-x+1/2,-y+1/2,-z'
'-x+1/2,y+1/2,-z'
'x+1/2,-y+1/2,z'
loop_
_atom_site_label
_atom_site_fract_x
_atom_site_fract_y
_atom_site_fract_z
_atom_site_occupancy
Tl1 0.075 0.000 0.330 1
Hg1 0.085 0.500 0.852 1
Pb1 0.246 0.000 0.748 1
```

---

Record 6
## Tl2Hg5Pb (PBE)

Data for a relaxed Tl2Hg5Pb crystal.

Properties
Offset from the most stable computed form: 9 meV per atom

Structure (CIF):
```
data_Tl2Hg5Pb
_chemical_formula_sum 'Tl4 Hg10 Pb2'
_space_group_name_H-M_alt 'I 4/m m m'
_space_group_IT_number 139
_space_group_name_Hall '-I 4 2'
_cell_length_a 5.120
_cell_length_b 5.120
_cell_length_c 17.100
_cell_angle_alpha 90.00
_cell_angle_beta 90.00
_cell_angle_gamma 90.00
loop_
_atom_site_label
_atom_site_fract_x
_atom_site_fract_y
_atom_site_fract_z
_atom_site_occupancy
Tl1 0.000 0.000 0.242 1
Hg1 0.000 0.000 0.500 1
Hg2 0.000 0.500 0.121 1
Pb1 0.000 0.000 0.000 1
```

---

Record 7
## Tl8Hg5Pb (PBE)

Data for a relaxed Tl8Hg5Pb crystal.

Structure (CIF):
```
data_Tl8Hg5Pb
_chemical_formula_sum 'Tl16 Hg10 Pb2'
_space_group_name_H-M_alt 'I -4'
_space_group_IT_number 82
_cell_length_a 9.600
_cell_length_b 9.600
_cell_length_c 9.407
_cell_angle_alpha 90.00
_cell_angle_beta 90.00
_cell_angle_gamma 90.00
loop_
_space_group_symop_operation_xyz
'x,y,z'
'y,-x,-z'
'-x,-y,z'
'-y,x,-z'
'x+1/2,y+1/2,z+1/2'
'y+1/2,-x+1/2,-z+1/2'
'-x+1/2,-y+1/2,z+1/2'
'-y+1/2,x+1/2,-z+1/2'
loop_
_atom_site_label
_atom_site_fract_x
_atom_site_fract_y
_atom_site_fract_z
_atom_site_occupancy
Tl1 0.070 0.166 0.308 1
Tl2 0.082 0.321 0.960 1
Hg1 0.000 0.000 0.000 1
Hg2 0.125 0.263 0.630 1
Pb1 0.000 0.500 0.250 1
```

---

Record 8
## Tl3Hg2Pb4 (PBE)

Data for a relaxed Tl3Hg2Pb4 crystal.

Structure (CIF):
```
data_Tl3Hg2Pb4
_chemical_formula_sum 'Tl3 Hg2 Pb4'
_space_group_name_H-M_alt 'P -1'
_space_group_IT_number 2
_cell_length_a 4.906
_cell_length_b 6.147
_cell_length_c 10.036
_cell_angle_alpha 84.93
_cell_angle_beta 88.70
_cell_angle_gamma 67.08
loop_
_space_group_symop_operation_xyz
'x,y,z'
'-x,-y,-z'
loop_
_atom_site_label
_atom_site_fract_x
_atom_site_fract_y
_atom_site_fract_z
_atom_site_occupancy
Tl1 0.000 0.000 0.000 1
Tl2 0.390 0.221 0.773 1
Hg1 0.233 0.534 0.408 1
Pb1 0.085 0.847 0.659 1
Pb2 0.308 0.378 0.110 1
```

---

no.,formation enthalpy at 0 K (eV per atom)
1,0.0564
2,0.0417
3,0.0109
4,0.1022
5,0.0143
6,0.0221
7,0.0189
8,0.0385